# 1
The following is a PBE calculation of K2VMoPd after structural relaxation, from Alexandria via LeMat-Bulk.

```
data_K2VMoPd
_chemical_formula_sum 'K2 V1 Mo1 Pd1'
_symmetry_space_group_name_H-M 'P 4/m m m'
_symmetry_Int_Tables_number 123
_symmetry_space_group_name_Hall '-P 4 2'
_cell_length_a 6.338
_cell_length_b 6.338
_cell_length_c 4.252
_cell_angle_alpha 90.00
_cell_angle_beta 90.00
_cell_angle_gamma 90.00
loop_
_atom_site_label
_atom_site_fract_x
_atom_site_fract_y
_atom_site_fract_z
K1 0.000 0.500 0.000
V1 0.000 0.000 0.000
Mo1 0.000 0.000 0.500
Pd1 0.500 0.500 0.500
```

Output
Total magnetization   0.0 μB per cell
Electronic total energy   -3.874 eV/atom

***

# 2
The following is a PBE calculation of LiInSb after structural relaxation, from Alexandria via LeMat-Bulk.

```
data_LiInSb
_chemical_formula_sum 'Li4 In4 Sb4'
_symmetry_space_group_name_H-M 'C m c 21'
_symmetry_Int_Tables_number 36
_cell_length_a 4.599
_cell_length_b 7.970
_cell_length_c 9.143
_cell_angle_alpha 90.00
_cell_angle_beta 90.00
_cell_angle_gamma 90.00
loop_
_symmetry_equiv_pos_as_xyz
'x,y,z'
'-x,-y,z+1/2'
'-x,y,z'
'x,-y,z+1/2'
'x+1/2,y+1/2,z'
'-x+1/2,-y+1/2,z+1/2'
'-x+1/2,y+1/2,z'
'x+1/2,-y+1/2,z+1/2'
loop_
_atom_site_label
_atom_site_fract_x
_atom_site_fract_y
_atom_site_fract_z
Li1 0.000 0.001 0.000
In1 0.000 0.334 0.720
Sb1 0.000 0.332 0.374
```

Output
Total magnetization   0.0 μB per cell
Electronic total energy   -3.105 eV/atom
Energy relative to the elements, uncorrected   -52 kJ/mol of formula units

***

# 3
The following is a PBE calculation of LiAl2Ag after structural relaxation, from Alexandria via LeMat-Bulk.

```
data_LiAl2Ag
_chemical_formula_sum 'Li2 Al4 Ag2'
_symmetry_space_group_name_H-M 'C 1 m 1'
_symmetry_Int_Tables_number 8
_cell_length_a 9.280
_cell_length_b 2.907
_cell_length_c 4.932
_cell_angle_alpha 90.00
_cell_angle_beta 98.15
_cell_angle_gamma 90.00
loop_
_symmetry_equiv_pos_as_xyz
'x,y,z'
'x,-y,z'
'x+1/2,y+1/2,z'
'x+1/2,-y+1/2,z'
loop_
_atom_site_label
_atom_site_fract_x
_atom_site_fract_y
_atom_site_fract_z
Li1 0.000 0.000 0.000
Al1 0.256 0.500 0.260
Al2 0.499 0.000 0.495
Ag1 0.247 0.000 0.767
```

Output
Total magnetization   0.0 μB per cell
Electronic total energy   -3.170 eV/atom